# NaCrCo2Tc GGA-PBE relaxed
# Volume: 16.3 Å³ per atom
# Total energy: -5.4485 eV/atom
# DOS(E_F): 5.08 states/eV/cell
# Formation enthalpy at 0 K: 1655 meV/atom
# Spin magnetization: 5.410 μB per formula unit
data_NaCrCo2Tc
_chemical_formula_sum 'Na1 Cr1 Co2 Tc1'
_symmetry_space_group_name_H-M 'P 4/m m m'
_symmetry_Int_Tables_number 123
_symmetry_space_group_name_Hall '-P 4 2'
_cell_length_a 4.1787
_cell_length_b 4.1787
_cell_length_c 4.6548
_cell_angle_alpha 90.00
_cell_angle_beta 90.00
_cell_angle_gamma 90.00
loop_
_atom_site_label
_atom_site_type_symbol
_atom_site_fract_x
_atom_site_fract_y
_atom_site_fract_z
_atom_site_occupancy
Na1 Na 0.0000 0.0000 0.0000 1
Cr1 Cr 0.0000 0.0000 0.5000 1
Co1 Co 0.0000 0.5000 0.5000 1
Tc1 Tc 0.5000 0.5000 0.0000 1